VASP calculation (PBE) on a relaxed structure of NaPuUO6.

Lattice parameters (Å, degrees): 5.8757 5.8757 9.8570 90.00 90.00 120.00
Each line ends with the local moment (μB).
Positions (direct):
Na  0.0000  0.0000  0.0000  0.00
Na  0.0000  0.0000  0.5000  0.00
Pu  0.3333  0.6667  0.2500  3.30
Pu  0.6667  0.3333  0.7500  3.30
U  0.6667  0.3333  0.2500  0.14
U  0.3333  0.6667  0.7500  0.14
O  0.6290  0.6240  0.1453  -0.07
O  0.9950  0.3710  0.1453  -0.07
O  0.3710  0.9950  0.6453  -0.07
O  0.0050  0.6290  0.8547  -0.07
O  0.3760  0.3710  0.3547  -0.07
O  0.9950  0.6240  0.3547  -0.07
O  0.6240  0.9950  0.8547  -0.07
O  0.6290  0.0050  0.3547  -0.07
O  0.0050  0.3760  0.6453  -0.07
O  0.3760  0.0050  0.1453  -0.07
O  0.6240  0.6290  0.6453  -0.07
O  0.3710  0.3760  0.8547  -0.07

## Properties
space-group type	P-31c
calculated volume	295	Å³ per cell
formation energy from raw total energies	-2.705	eV per atom

=====

VASP calculation (PBE) on a relaxed structure of Y3TaO7.

Lattice parameters (Å, degrees): 6.5199 6.5199 7.4857 90.00 90.00 108.57
Positions (direct):
Y  0.9996  0.5350  0.2407
Y  0.0004  0.4650  0.7407
Y  0.5350  0.9996  0.7593
Y  0.4650  0.0004  0.2593
Y  0.4616  0.4616  0.0000
Y  0.5384  0.5384  0.5000
Ta  0.9979  0.9979  0.0000
Ta  0.0021  0.0021  0.5000
O  0.9329  0.0671  0.7500
O  0.0671  0.9329  0.2500
O  0.3597  0.6403  0.2500
O  0.6403  0.3597  0.7500
O  0.3713  0.6287  0.7500
O  0.6287  0.3713  0.2500
O  0.3278  0.0823  0.9766
O  0.6722  0.9177  0.4766
O  0.3057  0.0474  0.5450
O  0.6943  0.9526  0.0450
O  0.0474  0.3057  0.4550
O  0.9526  0.6943  0.9550
O  0.9177  0.6722  0.5234
O  0.0823  0.3278  0.0234

## Properties
polymorph energy (0 for the lowest one)	0	meV/atom
space-group type	C222_1
calculated volume	302	Å³ per cell
formation energy from raw total energies	-3.396	eV per atom

=====

no.,uncorrected energy (hartree per atom)
1,-0.331
2,-0.345